No. 1
Here is an optimized crystal structure of Pr3GaFeS7 from the Alexandria database. Energies are from GGA-PBEsol.

```
data_Pr3GaFeS7
_chemical_formula_sum 'Pr6 Ga2 Fe2 S14'
_cell_length_a 9.9664
_cell_length_b 9.9664
_cell_length_c 5.9395
_cell_angle_alpha 90.00
_cell_angle_beta 90.00
_cell_angle_gamma 120.00
_symmetry_space_group_name_H-M 'P 63'
_symmetry_Int_Tables_number 173
_symmetry_space_group_name_Hall 'P 6c'
loop_
_atom_site_label
_atom_site_type_symbol
_atom_site_fract_x
_atom_site_fract_y
_atom_site_fract_z
Pr1 Pr 0.1463 0.7725 0.0000
Ga1 Ga 0.3333 0.6667 0.5810
Fe1 Fe 0.0000 0.0000 0.2104
S1 S 0.0924 0.5173 0.7281
S2 S 0.0925 0.8595 0.4516
S3 S 0.3333 0.6667 0.2074
```

The total DFT energy (no corrections) comes out at -6.387 eV/atom. Its formation energy without anion corrections is -1.508 eV/atom.

---

No. 2
Here is an optimized crystal structure of GaFePt3 from the Alexandria database. Energies are from GGA-PBEsol.

```
data_GaFePt3
_chemical_formula_sum 'Ga1 Fe1 Pt3'
_cell_length_a 4.5246
_cell_length_b 4.5246
_cell_length_c 4.5246
_cell_angle_alpha 90.00
_cell_angle_beta 90.00
_cell_angle_gamma 90.00
_symmetry_space_group_name_H-M 'P m -3 m'
_symmetry_Int_Tables_number 221
_symmetry_space_group_name_Hall '-P 4 2 3'
loop_
_atom_site_label
_atom_site_type_symbol
_atom_site_fract_x
_atom_site_fract_y
_atom_site_fract_z
Ga1 Ga 0.0000 0.0000 0.0000
Fe1 Fe 0.5000 0.5000 0.5000
Pt1 Pt 0.0000 0.5000 0.5000
```

The total DFT energy (no corrections) comes out at -5.715 eV/atom. The formation energy is 0.923 eV per atom.

---

No. 3
Here is an optimized crystal structure of Rb3GaFe from the Alexandria database. Energies are from GGA-PBEsol.

```
data_Rb3GaFe
_chemical_formula_sum 'Rb3 Ga1 Fe1'
_cell_length_a 6.5817
_cell_length_b 6.5817
_cell_length_c 6.5817
_cell_angle_alpha 90.00
_cell_angle_beta 90.00
_cell_angle_gamma 90.00
_symmetry_space_group_name_H-M 'P m -3 m'
_symmetry_Int_Tables_number 221
_symmetry_space_group_name_Hall '-P 4 2 3'
loop_
_atom_site_label
_atom_site_type_symbol
_atom_site_fract_x
_atom_site_fract_y
_atom_site_fract_z
Rb1 Rb 0.0000 0.0000 0.5000
Ga1 Ga 0.0000 0.0000 0.0000
Fe1 Fe 0.5000 0.5000 0.5000
```

The total DFT energy (no corrections) comes out at -2.003 eV/atom. The formation energy is 1.073 eV per atom.

---

No. 4
Here is an optimized crystal structure of Ga2Fe2Re from the Alexandria database. Energies are from GGA-PBEsol.

```
data_Ga2Fe2Re
_chemical_formula_sum 'Ga4 Fe4 Re2'
_cell_length_a 3.3452
_cell_length_b 3.3452
_cell_length_c 11.9253
_cell_angle_alpha 90.00
_cell_angle_beta 90.00
_cell_angle_gamma 90.00
_symmetry_space_group_name_H-M 'I 4/m m m'
_symmetry_Int_Tables_number 139
_symmetry_space_group_name_Hall '-I 4 2'
loop_
_atom_site_label
_atom_site_type_symbol
_atom_site_fract_x
_atom_site_fract_y
_atom_site_fract_z
Ga1 Ga 0.0000 0.5000 0.2500
Fe1 Fe 0.0000 0.0000 0.0964
Re1 Re 0.0000 0.0000 0.5000
```

The total DFT energy (no corrections) comes out at -7.102 eV/atom. The formation energy is 0.485 eV per atom.